# HgPS2 (PBE-GGA, optimized geometry)
# - E_form (uncorrected) (eV per atom) = -0.060
# - calculated volume (A^3/atom) = 32.9
# - ΔE to the lowest computed polymorph (kJ/mol of atoms) = 3.99
# - Fermi-level density of states (states/eV/f.u.) = 0.00
# - space group = P1, No. 1
data_HgPS2
_chemical_formula_sum 'Hg2 P2 S4'
_space_group_name_H-M_alt 'P 1'
_space_group_IT_number 1
_space_group_name_Hall 'P 1'
_cell_length_a 6.470
_cell_length_b 6.535
_cell_length_c 7.010
_cell_angle_alpha 85.43
_cell_angle_beta 77.04
_cell_angle_gamma 65.73
loop_
_atom_site_label
_atom_site_type_symbol
_atom_site_fract_x
_atom_site_fract_y
_atom_site_fract_z
Hg1 Hg 0.000 0.000 0.000
Hg2 Hg 0.371 0.365 0.003
P1 P 0.188 0.562 0.551
P2 P 0.416 0.752 0.548
S1 S 0.041 0.525 0.846
S2 S 0.074 0.919 0.496
S3 S 0.406 0.822 0.839
S4 S 0.635 0.185 0.210